[1]
Pm4Ho5In: optimized geometry, GGA-PBE.

a b c (Å): 3.593 3.593 24.431
angles (deg): 90.00 90.00 90.00
Positions (direct):
Ho 0.500 0.500 0.500
Pm 0.000 0.000 0.812
Pm 0.000 0.000 0.188
In 0.000 0.000 0.000
Ho 0.500 0.500 0.707
Ho 0.500 0.500 0.293
Ho 0.500 0.500 0.915
Pm 0.000 0.000 0.603
Ho 0.500 0.500 0.085
Pm 0.000 0.000 0.397

Output
* space-group type: No. 123
* crystal system: tetragonal
* DFT formation energy: -83.1 meV/atom
* final energy: -4.546 eV per atom
* polymorph energy (0 for the lowest one): 0 meV/atom


[2]
Sc3BeZn: optimized geometry, GGA-PBE.

a b c (Å): 4.808 4.808 4.808
angles (deg): 90.00 90.00 90.00
Positions (direct):
Be 0.000 0.000 0.000
Sc 0.500 0.000 0.000
Zn 0.500 0.500 0.500
Sc 0.000 0.500 0.000
Sc 0.000 0.000 0.500

Output
* space-group type: No. 221
* crystal system: cubic
* DFT formation energy: 270.4 meV/atom
* final energy: -4.529 eV per atom
* polymorph energy (0 for the lowest one): 0 meV/atom


[3]
ZrSnRh: optimized geometry, GGA-PBE.

a b c (Å): 7.415 7.415 7.291
angles (deg): 90.00 90.00 120.00
Positions (direct):
Zr 0.406 0.388 0.250
Zr 0.388 0.406 0.750
Sn 0.270 0.000 0.500
Rh 0.667 0.333 0.965
Rh 0.000 0.000 0.750
Sn 0.000 0.270 0.000
Zr 0.594 0.982 0.750
Rh 0.333 0.667 0.035
Zr 0.612 0.018 0.250
Sn 0.730 0.730 0.000
Rh 0.333 0.667 0.465
Rh 0.667 0.333 0.535
Zr 0.018 0.612 0.750
Rh 0.000 0.000 0.250
Sn 0.000 0.270 0.500
Zr 0.982 0.594 0.250
Sn 0.730 0.730 0.500
Sn 0.270 0.000 0.000

Output
* space-group type: No. 190
* crystal system: hexagonal
* DFT formation energy: -776.7 meV/atom
* final energy: -7.411 eV per atom


[4]
SiRu2W: optimized geometry, GGA-PBE.

a b c (Å): 5.117 5.117 5.117
angles (deg): 146.75 129.53 61.79
Positions (direct):
Ru 0.724 0.224 0.500
Ru 0.003 0.003 0.000
Si 0.507 0.507 0.000
W 0.267 0.767 0.500

Output
* space-group type: No. 44
* crystal system: orthorhombic
* final energy: -9.441 eV per atom


Number 1: density of states at the Fermi level 13.00 states/eV per cell. Number 2: density of states at the Fermi level 7.91 states/eV per cell. Number 3: density of states at the Fermi level 6.69 states/eV per cell. Number 4: density of states at the Fermi level 2.78 states/eV per cell.